[1]
! PBE Pr3Dy6Ho2, optimized geometry; values from VASP
! **Electronic total energy**: -4.37 eV per atom
! **Formation energy**: 6.25 kcal/mol of atoms
&SYSTEM
  ibrav = 0, nat = 11, ntyp = 3
/
ATOMIC_SPECIES
Pr 140.91 Pr.upf
Dy 162.50 Dy.upf
Ho 164.93 Ho.upf
ATOMIC_POSITIONS angstrom
Pr 0.0000 0.0000 0.0000
Pr 0.0000 0.0000 6.8083
Pr 0.0000 0.0000 26.5010
Dy 2.3870 0.0000 3.9885
Dy 0.0000 0.0000 10.2727
Dy 2.3870 0.0000 12.6661
Dy 0.0000 2.3870 3.9885
Dy 0.0000 0.0000 23.0366
Dy 0.0000 2.3870 12.6661
Ho 0.0000 0.0000 15.1194
Ho 0.0000 0.0000 18.1899
CELL_PARAMETERS angstrom
-2.3870 2.3870 16.6546
2.3870 -2.3870 16.6546
2.3870 2.3870 -16.6546

[2]
! PBE PmI, optimized geometry; values from VASP
! **Electronic total energy**: -3.93 eV per atom
! **Energy relative to the elements, uncorrected**: -0.776 eV/atom
&SYSTEM
  ibrav = 0, nat = 4, ntyp = 2
/
ATOMIC_SPECIES
Pm 145.00 Pm.upf
I 126.90 I.upf
ATOMIC_POSITIONS angstrom
Pm 0.9648 1.5184 0.8071
Pm 2.8943 4.5552 4.5484
I 0.9648 4.5552 1.8100
I 2.8943 1.5184 3.5456
CELL_PARAMETERS angstrom
3.8590 0.0000 0.0000
0.0000 6.0737 0.0000
0.0000 0.0000 5.3555